No. 1
A geometry-optimized Mo3Rh structure, computed with GGA-PBE.

Values from the calculation:
As for the total energy: -9.78 eV/atom. As for the space-group type: R-3m. For the total magnetic moment, the calculation gives 0.00 μB per formula unit.

Cell: 9.5638 9.5638 9.5638 Å, 16.62 16.62 16.62°
Fractional positions:
Mo1 0.0000 0.0000 0.0000
Mo2 0.2460 0.2460 0.2460
Mo3 0.7540 0.7540 0.7540
Rh1 0.5000 0.5000 0.5000

No. 2
A geometry-optimized Mo3Rh structure, computed with GGA-PBE.

Values from the calculation:
As for the total energy: -9.87 eV/atom. As for the space-group type: Pmmn. For the total magnetic moment, the calculation gives 0.00 μB per formula unit.

Cell: 4.4202 5.6073 5.0073 Å, 90.00 90.00 90.00°
Fractional positions:
Mo1 0.2500 0.0128 0.1511
Mo2 0.2500 0.4872 0.1511
Mo3 0.2500 0.7500 0.6458
Mo4 0.7500 0.2500 0.3542
Mo5 0.7500 0.5128 0.8489
Mo6 0.7500 0.9872 0.8489
Rh1 0.2500 0.2500 0.6686
Rh2 0.7500 0.7500 0.3314

No. 3
A geometry-optimized MoRh structure, computed with GGA-PBE.

Values from the calculation:
As for the total energy: -9.07 eV/atom. As for the space-group type: P4/nmm. For the total magnetic moment, the calculation gives 0.00 μB per formula unit.

Cell: 3.2596 3.2596 5.7274 Å, 90.00 90.00 90.00°
Fractional positions:
Mo1 0.2500 0.2500 0.1386
Mo2 0.7500 0.7500 0.8614
Rh1 0.2500 0.2500 0.6376
Rh2 0.7500 0.7500 0.3624